This record from Alexandria via LeMat-Bulk describes crystalline VF5 at its relaxed geometry. The functional is PBE+U.

Values from the calculation:
For the density of states at the Fermi level, the calculation gives 0.000 states/eV/f.u. The calculated volume is 101.3 Å³/f.u. The raw total energy comes out at -5.25 eV per atom. The space-group type is P2_1 (4). The theoretical density is 2.39 g/cm3. The total magnetization is 0.0 μB/f.u.

Cell: 10.016 5.497 7.356 Å, 89.72 90.00 90.00°
Element x y z (fractional)
F1 0.284 0.256 0.050
F2 0.777 0.770 0.307
F3 0.456 0.482 0.842
F4 0.780 0.268 0.315
V1 0.889 0.012 0.440
F5 0.478 0.758 0.451
F6 0.978 0.242 0.549
F7 0.983 0.017 0.237
F8 0.277 0.230 0.693
F9 0.608 0.512 0.150
F10 0.483 0.983 0.763
V2 0.389 0.988 0.560
F11 0.975 0.773 0.543
V3 0.282 0.486 0.886
F12 0.784 0.744 0.950
V4 0.782 0.514 0.114
F13 0.475 0.227 0.457
F14 0.786 0.277 0.957
F15 0.752 0.010 0.592
F16 0.280 0.732 0.685
F17 0.956 0.518 0.158
F18 0.286 0.723 0.043
F19 0.108 0.488 0.850
F20 0.252 0.990 0.408